Computed, not measured: an optimized crystal structure of GaBi at the PBE level of DFT.

a = 3.3521 Å, b = 3.3521 Å, c = 9.7498 Å
α = 97.60°, β = 97.86°, γ = 92.54°
Sites, in units of the cell vectors:
Ga 0.2061 0.2066 0.4129
Ga 0.7939 0.7934 0.5871
Bi 0.4218 0.4233 0.8298
Bi 0.5782 0.5767 0.1702

raw total energy: -0.1242 Ha/atom
calculated volume: 107.4 Å³ per cell
DFT formation energy: 7.2 kJ per mole of atoms

Computed, not measured: an optimized crystal structure of GaBi at the PBE level of DFT.

a = 11.0546 Å, b = 11.0546 Å, c = 4.5653 Å
α = 90.00°, β = 90.00°, γ = 90.00°
Sites, in units of the cell vectors:
Ga 0.1353 0.3538 0.0000
Ga 0.1462 0.6353 0.5000
Ga 0.3538 0.8647 0.0000
Ga 0.3647 0.1462 0.5000
Ga 0.6353 0.8538 0.5000
Ga 0.6462 0.1353 0.0000
Ga 0.8538 0.3647 0.5000
Ga 0.8647 0.6462 0.0000
Bi 0.0661 0.2235 0.5000
Bi 0.2235 0.9339 0.5000
Bi 0.2765 0.5661 0.0000
Bi 0.4339 0.2765 0.0000
Bi 0.5661 0.7235 0.0000
Bi 0.7235 0.4339 0.0000
Bi 0.7765 0.0661 0.5000
Bi 0.9339 0.7765 0.5000

raw total energy: -0.1204 Ha/atom
calculated volume: 557.9 Å³ per cell
DFT formation energy: 17.1 kJ per mole of atoms

Computed, not measured: an optimized crystal structure of Ga3Bi at the PBE level of DFT.

a = 4.5267 Å, b = 4.5267 Å, c = 4.5267 Å
α = 90.00°, β = 90.00°, γ = 90.00°
Sites, in units of the cell vectors:
Ga 0.0000 0.0000 0.5000
Ga 0.0000 0.5000 0.0000
Ga 0.5000 0.0000 0.0000
Bi 0.5000 0.5000 0.5000

raw total energy: -0.1165 Ha/atom
calculated volume: 92.8 Å³ per cell
DFT formation energy: 6.9 kJ per mole of atoms

Computed, not measured: an optimized crystal structure of GaBi at the PBE level of DFT.

a = 5.9948 Å, b = 5.9948 Å, c = 5.9948 Å
α = 90.00°, β = 90.00°, γ = 90.00°
Sites, in units of the cell vectors:
Ga 0.0000 0.0000 0.0000
Ga 0.0000 0.5000 0.5000
Ga 0.5000 0.0000 0.5000
Ga 0.5000 0.5000 0.0000
Bi 0.0000 0.0000 0.5000
Bi 0.0000 0.5000 0.0000
Bi 0.5000 0.0000 0.0000
Bi 0.5000 0.5000 0.5000

raw total energy: -0.1233 Ha/atom
calculated volume: 215.4 Å³ per cell
DFT formation energy: 9.4 kJ per mole of atoms

Computed, not measured: an optimized crystal structure of GaBi6 at the PBE level of DFT.

a = 8.8393 Å, b = 8.8393 Å, c = 8.8393 Å
α = 90.00°, β = 90.00°, γ = 90.00°
Sites, in units of the cell vectors:
Ga 0.0000 0.0000 0.0000
Ga 0.5000 0.5000 0.5000
Bi 0.0000 0.2500 0.5000
Bi 0.0000 0.5000 0.2500
Bi 0.0000 0.5000 0.7500
Bi 0.0000 0.7500 0.5000
Bi 0.2500 0.0000 0.5000
Bi 0.2500 0.5000 0.0000
Bi 0.5000 0.0000 0.2500
Bi 0.5000 0.0000 0.7500
Bi 0.5000 0.2500 0.0000
Bi 0.5000 0.7500 0.0000
Bi 0.7500 0.0000 0.5000
Bi 0.7500 0.5000 0.0000

raw total energy: -0.1224 Ha/atom
calculated volume: 690.6 Å³ per cell
DFT formation energy: 41.4 kJ per mole of atoms

Computed, not measured: an optimized crystal structure of GaBi at the PBE level of DFT.

a = 12.6656 Å, b = 4.6427 Å, c = 5.8204 Å
α = 90.00°, β = 90.00°, γ = 90.00°
Sites, in units of the cell vectors:
Ga 0.0000 0.1128 0.0000
Ga 0.1936 0.3805 0.1194
Ga 0.3064 0.6195 0.6194
Ga 0.5000 0.8872 0.5000
Ga 0.6936 0.6195 0.6194
Ga 0.8064 0.3805 0.1194
Bi 0.0000 0.6347 0.3268
Bi 0.1659 0.1251 0.6216
Bi 0.3341 0.8749 0.1216
Bi 0.5000 0.3653 0.8268
Bi 0.6659 0.8749 0.1216
Bi 0.8341 0.1251 0.6216

raw total energy: -0.1232 Ha/atom
calculated volume: 342.3 Å³ per cell
DFT formation energy: 9.8 kJ per mole of atoms

Computed, not measured: an optimized crystal structure of GaBi2 at the PBE level of DFT.

a = 3.7578 Å, b = 3.7578 Å, c = 11.7741 Å
α = 90.00°, β = 90.00°, γ = 90.00°
Sites, in units of the cell vectors:
Ga 0.0000 0.0000 0.0000
Ga 0.5000 0.5000 0.5000
Bi 0.0000 0.0000 0.3564
Bi 0.0000 0.0000 0.6436
Bi 0.5000 0.5000 0.1436
Bi 0.5000 0.5000 0.8564

raw total energy: -0.1283 Ha/atom
calculated volume: 166.3 Å³ per cell
DFT formation energy: 10.0 kJ per mole of atoms

Computed, not measured: an optimized crystal structure of Ga3Bi at the PBE level of DFT.

a = 7.2180 Å, b = 7.2180 Å, c = 7.2180 Å
α = 90.00°, β = 90.00°, γ = 90.00°
Sites, in units of the cell vectors:
Ga 0.0000 0.0000 0.0000
Ga 0.0000 0.5000 0.5000
Ga 0.2500 0.2500 0.2500
Ga 0.2500 0.2500 0.7500
Ga 0.2500 0.7500 0.2500
Ga 0.2500 0.7500 0.7500
Ga 0.5000 0.0000 0.5000
Ga 0.5000 0.5000 0.0000
Ga 0.7500 0.2500 0.2500
Ga 0.7500 0.2500 0.7500
Ga 0.7500 0.7500 0.2500
Ga 0.7500 0.7500 0.7500
Bi 0.0000 0.0000 0.5000
Bi 0.0000 0.5000 0.0000
Bi 0.5000 0.0000 0.0000
Bi 0.5000 0.5000 0.5000

raw total energy: -0.1141 Ha/atom
calculated volume: 376.1 Å³ per cell
DFT formation energy: 13.2 kJ per mole of atoms

Computed, not measured: an optimized crystal structure of GaBi at the PBE level of DFT.

a = 4.5453 Å, b = 13.9921 Å, c = 7.0016 Å
α = 90.00°, β = 90.00°, γ = 90.00°
Sites, in units of the cell vectors:
Ga 0.2500 0.1058 0.1007
Ga 0.2500 0.3942 0.1007
Ga 0.2500 0.7500 0.3963
Ga 0.7500 0.2500 0.6037
Ga 0.7500 0.6058 0.8993
Ga 0.7500 0.8942 0.8993
Bi 0.2500 0.2500 0.3734
Bi 0.2500 0.5980 0.1360
Bi 0.2500 0.9020 0.1360
Bi 0.7500 0.0980 0.8640
Bi 0.7500 0.4020 0.8640
Bi 0.7500 0.7500 0.6266

raw total energy: -0.1230 Ha/atom
calculated volume: 445.3 Å³ per cell
DFT formation energy: 10.4 kJ per mole of atoms

Computed, not measured: an optimized crystal structure of GaBi at the PBE level of DFT.

a = 8.8740 Å, b = 8.8740 Å, c = 8.8740 Å
α = 90.00°, β = 90.00°, γ = 90.00°
Sites, in units of the cell vectors:
Ga 0.1559 0.1559 0.1559
Ga 0.1559 0.8441 0.8441
Ga 0.3441 0.3441 0.6559
Ga 0.3441 0.6559 0.3441
Ga 0.6559 0.3441 0.3441
Ga 0.6559 0.6559 0.6559
Ga 0.8441 0.1559 0.8441
Ga 0.8441 0.8441 0.1559
Bi 0.1635 0.1635 0.8365
Bi 0.1635 0.8365 0.1635
Bi 0.3365 0.3365 0.3365
Bi 0.3365 0.6635 0.6635
Bi 0.6635 0.3365 0.6635
Bi 0.6635 0.6635 0.3365
Bi 0.8365 0.1635 0.1635
Bi 0.8365 0.8365 0.8365

raw total energy: -0.1195 Ha/atom
calculated volume: 698.8 Å³ per cell
DFT formation energy: 19.5 kJ per mole of atoms

Computed, not measured: an optimized crystal structure of Ga3Bi at the PBE level of DFT.

a = 4.5485 Å, b = 4.5485 Å, c = 8.9930 Å
α = 90.00°, β = 90.00°, γ = 90.00°
Sites, in units of the cell vectors:
Ga 0.0000 0.0000 0.0000
Ga 0.0000 0.5000 0.2500
Ga 0.0000 0.5000 0.7500
Ga 0.5000 0.0000 0.2500
Ga 0.5000 0.0000 0.7500
Ga 0.5000 0.5000 0.5000
Bi 0.0000 0.0000 0.5000
Bi 0.5000 0.5000 0.0000

raw total energy: -0.1163 Ha/atom
calculated volume: 186.1 Å³ per cell
DFT formation energy: 7.3 kJ per mole of atoms

Computed, not measured: an optimized crystal structure of GdGaHgBi at the PBE level of DFT.

a = 7.5476 Å, b = 7.5476 Å, c = 7.5476 Å
α = 90.00°, β = 90.00°, γ = 90.00°
Sites, in units of the cell vectors:
Gd 0.0000 0.0000 0.0000
Gd 0.0000 0.5000 0.5000
Gd 0.5000 0.0000 0.5000
Gd 0.5000 0.5000 0.0000
Ga 0.0000 0.0000 0.5000
Ga 0.0000 0.5000 0.0000
Ga 0.5000 0.0000 0.0000
Ga 0.5000 0.5000 0.5000
Hg 0.2500 0.2500 0.2500
Hg 0.2500 0.7500 0.7500
Hg 0.7500 0.2500 0.7500
Hg 0.7500 0.7500 0.2500
Bi 0.2500 0.2500 0.7500
Bi 0.2500 0.7500 0.2500
Bi 0.7500 0.2500 0.2500
Bi 0.7500 0.7500 0.7500

raw total energy: -0.2057 Ha/atom
calculated volume: 430.0 Å³ per cell
DFT formation energy: -26.5 kJ per mole of atoms